No. 1
This record from the Alexandria database describes an optimized crystal structure of Ni3H3Pd. The functional is PBE.

```
Ni3H3Pd
1.0
4.848 0.000 0.000
0.000 4.848 0.000
0.000 0.000 4.848
Ni H Pd
6 6 2
direct
0.000 0.250 0.500 Ni
0.000 0.750 0.500 Ni
0.250 0.500 0.000 Ni
0.500 0.000 0.250 Ni
0.500 0.000 0.750 Ni
0.750 0.500 0.000 Ni
0.000 0.500 0.250 H
0.000 0.500 0.750 H
0.250 0.000 0.500 H
0.500 0.250 0.000 H
0.500 0.750 0.000 H
0.750 0.000 0.500 H
0.000 0.000 0.000 Pd
0.500 0.500 0.500 Pd
```

Properties
space-group type: Pm-3n
energy above the most stable polymorph in this dataset: 50.8 meV/atom



No. 2
This record from the Alexandria database describes an optimized crystal structure of K2Ga2As. The functional is PBE.

```
K2Ga2As
1.0
-2.265 2.265 7.185
2.265 -2.265 7.185
2.265 2.265 -7.185
K Ga As
2 2 1
direct
0.250 0.750 0.500 K
0.750 0.250 0.500 K
0.084 0.084 0.000 Ga
0.916 0.916 0.000 Ga
0.500 0.500 0.000 As
```

Properties
space-group type: I4/mmm
energy above the most stable polymorph in this dataset: 426.5 meV/atom
ΔE_f: 315 meV per atom



No. 3
This record from the Alexandria database describes an optimized crystal structure of SrZnSn. The functional is PBE.

```
SrZnSn
1.0
-2.438 4.050 4.115
2.438 -4.050 4.115
2.438 4.050 -4.115
Sr Zn Sn
2 2 2
direct
0.000 0.000 0.000 Sr
0.576 0.076 0.500 Sr
0.036 0.706 0.330 Zn
0.377 0.706 0.670 Zn
0.171 0.382 0.789 Sn
0.593 0.382 0.211 Sn
```

Properties
space-group type: Imm2
ΔE_f: -465 meV per atom



No. 4
This record from the Alexandria database describes an optimized crystal structure of Rb2NaAl6F21. The functional is PBE.

```
Rb2NaAl6F21
1.0
6.122 -3.539 0.000
6.122 3.539 0.000
-4.074 0.000 9.510
Rb Na Al F
2 1 6 21
direct
0.138 0.138 0.410 Rb
0.862 0.862 0.590 Rb
0.482 0.518 0.500 Na
0.036 0.591 0.190 Al
0.409 0.464 0.809 Al
0.409 0.964 0.810 Al
0.536 0.591 0.191 Al
0.537 0.090 0.193 Al
0.910 0.463 0.807 Al
0.116 0.658 0.375 F
0.119 0.174 0.812 F
0.126 0.549 0.828 F
0.240 0.662 0.169 F
0.243 0.298 0.186 F
0.320 0.433 0.625 F
0.338 0.760 0.831 F
0.342 0.884 0.625 F
0.451 0.874 0.172 F
0.479 0.047 0.001 F
0.486 0.169 0.797 F
0.504 0.496 0.000 F
0.567 0.680 0.375 F
0.588 0.142 0.378 F
0.621 0.305 0.204 F
0.695 0.379 0.796 F
0.702 0.757 0.814 F
0.826 0.881 0.188 F
0.831 0.514 0.203 F
0.858 0.412 0.622 F
0.953 0.521 0.999 F
```

Properties
space-group type: C2
energy relative to the elements, uncorrected: -3.445 eV per atom



No. 5
This record from the Alexandria database describes an optimized crystal structure of LiUF2. The functional is PBE.

```
LiUF2
1.0
1.538 0.888 6.803
-1.538 0.888 6.803
0.000 -1.776 6.803
Li U F
1 1 2
direct
0.000 0.000 0.000 Li
0.500 0.500 0.500 U
0.387 0.387 0.387 F
0.613 0.613 0.613 F
```

Properties
space-group type: R-3m
energy relative to the elements, uncorrected: -2.301 eV per atom



No. 6
This record from the Alexandria database describes an optimized crystal structure of CaTaCl. The functional is PBE.

```
CaTaCl
1.0
4.946 0.000 0.000
-2.473 4.283 0.000
0.000 0.000 3.156
Ca Ta Cl
1 1 1
direct
0.000 0.000 0.000 Ca
0.667 0.333 0.500 Ta
0.333 0.667 0.500 Cl
```

Properties
space-group type: P-6m2
energy above the most stable polymorph in this dataset: 1306.7 meV/atom
energy relative to the elements, uncorrected: 0.498 eV per atom



No. 7
This record from the Alexandria database describes an optimized crystal structure of TlAuSeN2. The functional is PBE.

```
TlAuSeN2
1.0
4.195 0.000 0.000
0.000 4.195 0.000
0.000 0.000 5.747
Tl Au Se N
1 1 1 2
direct
0.000 0.000 0.000 Tl
0.500 0.500 0.500 Au
0.500 0.500 0.000 Se
0.000 0.500 0.500 N
0.500 0.000 0.500 N
```

Properties
space-group type: P4/mmm
energy above the most stable polymorph in this dataset: 0.0 meV/atom
energy relative to the elements, uncorrected: 1.467 eV per atom



No. 8
This record from the Alexandria database describes an optimized crystal structure of CrInBiSb2. The functional is PBE.

```
CrInBiSb2
1.0
5.147 0.000 0.000
0.000 5.147 0.000
0.000 0.000 5.208
Cr In Bi Sb
1 1 1 2
direct
0.000 0.000 0.000 Cr
0.000 0.000 0.500 In
0.500 0.500 0.500 Bi
0.000 0.500 0.000 Sb
0.500 0.000 0.000 Sb
```

Properties
space-group type: P4/mmm
energy above the most stable polymorph in this dataset: 0.0 meV/atom
energy relative to the elements, uncorrected: 0.352 eV per atom



no.,total magnetic moment (μB per formula unit),volume (Å³ per atom)
1,0.0,8.138
2,0.0,29.498
3,0.0,27.083
4,0.3,13.737
5,3.2,13.943
6,1.4,22.288
7,3.5,20.222
8,2.3,27.598